(1)
Below is a PBEsol-optimized structure of HgIrRu2, with properties calculated at the SCAN level.

The value obtained for the energy is -51.864 eV per atom. As for the total magnetic moment: 0.0 μB/cell.

The space group is R-3m (No. 166, hexagonal axes) and the conventional cell measures 2.7603, 2.7603 and 27.1856 Å, with angles of 90.00, 90.00 and 120.00 degrees. The distinct sites, in fractional coordinates, are Hg at (0.0000, 0.0000, 0.0000), Ir at (0.0000, 0.0000, 0.5000) and Ru at (0.0000, 0.0000, 0.2445).



(2)
Below is a PBEsol-optimized structure of LiHfNb3, with properties calculated at the SCAN level.

The relative energy among the computed polymorphs comes out at 586 meV/atom. The value obtained for the energy is -31.326 eV per atom. As for the total magnetic moment: 0.8 μB/cell.

The space group is Pm-3m (No. 221) and the conventional cell measures 4.903, 4.903 and 4.903 Å, with angles of 90.00, 90.00 and 90.00 degrees. The distinct sites, in fractional coordinates, are Li at (0.000, 0.000, 0.000), Hf at (0.500, 0.500, 0.500) and Nb at (0.000, 0.500, 0.500).



(3)
Below is a PBEsol-optimized structure of CoSiTc2, with properties calculated at the SCAN level.

The value obtained for the energy is -24.554 eV per atom. As for the total magnetic moment: 9.6 μB/cell.

The space group is F-43m (No. 216) and the conventional cell measures 5.865, 5.865 and 5.865 Å, with angles of 90.00, 90.00 and 90.00 degrees. The distinct sites, in fractional coordinates, are Co at (0.000, 0.000, 0.000), Si at (0.250, 0.250, 0.250), Tc at (0.000, 0.000, 0.500) and Tc at (0.250, 0.250, 0.750).



(4)
Below is a PBEsol-optimized structure of AlZn3, with properties calculated at the SCAN level.

The value obtained for the energy is -12.032 eV per atom. As for the total magnetic moment: 0.0 μB/cell.

The space group is Pmm2 (No. 25) and the conventional cell measures 2.725, 4.883 and 4.502 Å, with angles of 90.00, 90.00 and 90.00 degrees. The distinct sites, in fractional coordinates, are Al at (0.000, 0.000, 0.000), Zn at (0.000, 0.500, 0.317), Zn at (0.500, 0.000, 0.500) and Zn at (0.500, 0.500, 0.817).



(5)
Below is a PBEsol-optimized structure of TiTcN2, with properties calculated at the SCAN level.

The relative energy among the computed polymorphs comes out at 0 meV/atom. The value obtained for the energy is -18.190 eV per atom. As for the total magnetic moment: 0.0 μB/cell.

The space group is I-42d (No. 122) and the conventional cell measures 4.499, 4.499 and 9.254 Å, with angles of 90.00, 90.00 and 90.00 degrees. The distinct sites, in fractional coordinates, are Ti at (0.000, 0.000, 0.000), Tc at (0.000, 0.000, 0.500) and N at (0.247, 0.250, 0.625).



(6)
Below is a PBEsol-optimized structure of MgRuSeBr2, with properties calculated at the SCAN level.

The value obtained for the energy is -19.580 eV per atom. As for the total magnetic moment: 4.0 μB/cell.

The space group is P4/mmm (No. 123) and the conventional cell measures 4.943, 4.943 and 5.190 Å, with angles of 90.00, 90.00 and 90.00 degrees. The distinct sites, in fractional coordinates, are Mg at (0.000, 0.000, 0.000), Ru at (0.500, 0.500, 0.500), Se at (0.000, 0.000, 0.500) and Br at (0.000, 0.500, 0.000).



(7)
Below is a PBEsol-optimized structure of Ca2Rh, with properties calculated at the SCAN level.

The value obtained for the energy is -18.039 eV per atom. As for the total magnetic moment: 0.0 μB/cell.

The space group is I4/mmm (No. 139) and the conventional cell measures 3.420, 3.420 and 13.158 Å, with angles of 90.00, 90.00 and 90.00 degrees. The distinct sites, in fractional coordinates, are Ca at (0.000, 0.000, 0.124) and Rh at (0.000, 0.000, 0.500).



(8)
Below is a PBEsol-optimized structure of BaCa3Be, with properties calculated at the SCAN level.

The value obtained for the energy is -14.365 eV per atom. As for the total magnetic moment: 0.2 μB/cell.

The space group is Pm-3m (No. 221) and the conventional cell measures 5.757, 5.757 and 5.757 Å, with angles of 90.00, 90.00 and 90.00 degrees. The distinct sites, in fractional coordinates, are Ba at (0.000, 0.000, 0.000), Ca at (0.000, 0.500, 0.500) and Be at (0.500, 0.500, 0.500).



(9)
Below is a PBEsol-optimized structure of Ag2HgI2, with properties calculated at the SCAN level.

The value obtained for the energy is -41.022 eV per atom. As for the total magnetic moment: 0.0 μB/cell.

The space group is I4/mmm (No. 139) and the conventional cell measures 4.282, 4.282 and 16.262 Å, with angles of 90.00, 90.00 and 90.00 degrees. The distinct sites, in fractional coordinates, are Ag at (0.000, 0.500, 0.250), Hg at (0.000, 0.000, 0.000) and I at (0.000, 0.000, 0.366).



(10)
Below is a PBEsol-optimized structure of Sm2SiTeO4, with properties calculated at the SCAN level.

The relative energy among the computed polymorphs comes out at 9 meV/atom. The value obtained for the energy is -23.303 eV per atom. As for the total magnetic moment: 0.0 μB/cell.

The space group is P2_1/c (No. 14) and the conventional cell measures 9.697, 6.315 and 8.595 Å, with angles of 90.00, 95.08 and 90.00 degrees. The distinct sites, in fractional coordinates, are Sm at (0.107, 0.152, 0.194), Sm at (0.346, 0.696, 0.335), Si at (0.125, 0.691, 0.056), Te at (0.409, 0.212, 0.383), O at (0.023, 0.193, 0.922), O at (0.124, 0.635, 0.871), O at (0.159, 0.507, 0.185) and O at (0.250, 0.634, 0.590).